{"formula": "PaInRu4", "functional": "PBE", "state": "relaxed", "cell": [[0.000, 3.740, 3.740], [3.740, 0.000, 3.740], [3.740, 3.740, 0.000]], "species": ["Pa", "In", "Ru", "Ru", "Ru", "Ru"], "frac_coords": [[0.000, 0.000, 0.000], [0.750, 0.750, 0.750], [0.376, 0.376, 0.376], [0.376, 0.376, 0.872], [0.376, 0.872, 0.376], [0.872, 0.376, 0.376]], "dft_energy_ev_per_cell": -49.8, "e_form_kj_per_mol_fu": -45.9, "sg": "F-43m, No. 216", "dos_ef_per_ev_fu": 8.29}

***

{"formula": "PaInRu", "functional": "PBE", "state": "relaxed", "cell": [[0.000, 3.291, 3.291], [3.291, 0.000, 3.291], [3.291, 3.291, 0.000]], "species": ["Pa", "In", "Ru"], "frac_coords": [[0.000, 0.000, 0.000], [0.500, 0.500, 0.500], [0.250, 0.250, 0.250]], "dft_energy_ev_per_cell": -21.9, "e_form_kj_per_mol_fu": -35.0, "sg": "F-43m, No. 216", "dos_ef_per_ev_fu": 5.37}

***

{"formula": "PaInRu", "functional": "PBE", "state": "relaxed", "cell": [[-2.142, 2.807, 5.379], [2.142, -2.807, 5.379], [2.142, 2.807, -5.379]], "species": ["Pa", "Pa", "In", "In", "Ru", "Ru"], "frac_coords": [[0.207, 0.207, 0.000], [0.793, 0.793, 0.000], [0.250, 0.500, 0.750], [0.750, 0.500, 0.250], [0.368, 0.868, 0.500], [0.632, 0.132, 0.500]], "dft_energy_ev_per_cell": -45.0, "e_form_kj_per_mol_fu": -97.6, "sg": "Immm, No. 71", "dos_ef_per_ev_fu": 3.04}

***

{"formula": "PaInRu2", "functional": "PBE", "state": "relaxed", "cell": [[4.494, 0.000, 0.000], [0.000, 4.494, 0.000], [0.000, 0.000, 3.626]], "species": ["Pa", "In", "Ru", "Ru"], "frac_coords": [[0.000, 0.000, 0.000], [0.500, 0.500, 0.000], [0.000, 0.500, 0.500], [0.500, 0.000, 0.500]], "dft_energy_ev_per_cell": -32.6, "e_form_kj_per_mol_fu": -175.5, "sg": "P4/mmm, No. 123", "dos_ef_per_ev_fu": 1.23}

***

{"formula": "Pa2InSi2Ru5", "functional": "PBE", "state": "relaxed", "cell": [[9.844, 0.000, 0.000], [0.000, 9.844, 0.000], [0.000, 0.000, 3.503]], "species": ["Pa", "Pa", "Pa", "Pa", "In", "In", "Si", "Si", "Si", "Si", "Ru", "Ru", "Ru", "Ru", "Ru", "Ru", "Ru", "Ru", "Ru", "Ru"], "frac_coords": [[0.178, 0.322, 0.000], [0.322, 0.822, 0.000], [0.678, 0.178, 0.000], [0.822, 0.678, 0.000], [0.000, 0.000, 0.000], [0.500, 0.500, 0.000], [0.120, 0.620, 0.000], [0.380, 0.120, 0.000], [0.620, 0.880, 0.000], [0.880, 0.380, 0.000], [0.000, 0.500, 0.500], [0.076, 0.785, 0.500], [0.215, 0.076, 0.500], [0.285, 0.576, 0.500], [0.424, 0.285, 0.500], [0.500, 0.000, 0.500], [0.576, 0.715, 0.500], [0.715, 0.424, 0.500], [0.785, 0.924, 0.500], [0.924, 0.215, 0.500]], "formation_energy_uncorrected_ev_per_atom": -0.606, "dft_energy_ev_per_cell": -170.0, "sg": "P4/mbm, No. 127", "dos_ef_per_ev_fu": 3.76}

***

{"formula": "PaZnInRu", "functional": "PBE", "state": "relaxed", "cell": [[0.000, 3.391, 3.391], [3.391, 0.000, 3.391], [3.391, 3.391, 0.000]], "species": ["Pa", "Zn", "In", "Ru"], "frac_coords": [[0.000, 0.000, 0.000], [0.750, 0.750, 0.750], [0.500, 0.500, 0.500], [0.250, 0.250, 0.250]], "dft_energy_ev_per_cell": -23.2, "e_form_kj_per_mol_fu": -41.9, "sg": "F-43m, No. 216", "dos_ef_per_ev_fu": 4.60}

***

{"formula": "Pa3In5S12", "functional": "PBE", "state": "relaxed", "cell": [[-7.903, 7.903, 7.903], [7.903, -7.903, 7.903], [7.903, 7.903, -7.903]], "species": ["Pa", "Pa", "Pa", "Pa", "Pa", "Pa", "Pa", "Pa", "Pa", "Pa", "Pa", "Pa", "In", "In", "In", "In", "In", "In", "In", "In", "In", "In", "In", "In", "In", "In", "In", "In", "In", "In", "In", "In", "S", "S", "S", "S", "S", "S", "S", "S", "S", "S", "S", "S", "S", "S", "S", "S", "S", "S", "S", "S", "S", "S", "S", "S", "S", "S", "S", "S", "S", "S", "S", "S", "S", "S", "S", "S", "S", "S", "S", "S", "S", "S", "S", "S", "S", "S", "S", "S"], "frac_coords": [[0.125, 0.250, 0.375], [0.125, 0.375, 0.750], [0.250, 0.375, 0.125], [0.250, 0.875, 0.625], [0.375, 0.125, 0.250], [0.375, 0.750, 0.125], [0.625, 0.250, 0.875], [0.625, 0.875, 0.750], [0.750, 0.125, 0.375], [0.750, 0.625, 0.875], [0.875, 0.625, 0.250], [0.875, 0.750, 0.625], [0.000, 0.000, 0.000], [0.000, 0.000, 0.500], [0.000, 0.500, 0.000], [0.000, 0.500, 0.500], [0.125, 0.750, 0.875], [0.125, 0.875, 0.250], [0.250, 0.125, 0.875], [0.250, 0.625, 0.375], [0.375, 0.250, 0.625], [0.375, 0.625, 0.750], [0.500, 0.000, 0.000], [0.500, 0.000, 0.500], [0.500, 0.500, 0.000], [0.500, 0.500, 0.500], [0.625, 0.375, 0.250], [0.625, 0.750, 0.375], [0.750, 0.375, 0.625], [0.750, 0.875, 0.125], [0.875, 0.125, 0.750], [0.875, 0.250, 0.125], [0.049, 0.223, 0.136], [0.049, 0.326, 0.913], [0.087, 0.636, 0.413], [0.087, 0.723, 0.674], [0.087, 0.864, 0.413], [0.087, 0.951, 0.674], [0.136, 0.049, 0.223], [0.136, 0.587, 0.913], [0.174, 0.223, 0.587], [0.174, 0.451, 0.587], [0.223, 0.136, 0.049], [0.223, 0.587, 0.174], [0.277, 0.326, 0.913], [0.277, 0.451, 0.364], [0.326, 0.913, 0.049], [0.326, 0.913, 0.277], [0.364, 0.277, 0.451], [0.364, 0.587, 0.913], [0.413, 0.087, 0.636], [0.413, 0.087, 0.864], [0.413, 0.826, 0.549], [0.413, 0.826, 0.777], [0.451, 0.364, 0.277], [0.451, 0.587, 0.174], [0.549, 0.413, 0.826], [0.549, 0.636, 0.723], [0.587, 0.174, 0.223], [0.587, 0.174, 0.451], [0.587, 0.913, 0.136], [0.587, 0.913, 0.364], [0.636, 0.413, 0.087], [0.636, 0.723, 0.549], [0.674, 0.087, 0.723], [0.674, 0.087, 0.951], [0.723, 0.549, 0.636], [0.723, 0.674, 0.087], [0.777, 0.413, 0.826], [0.777, 0.864, 0.951], [0.826, 0.549, 0.413], [0.826, 0.777, 0.413], [0.864, 0.413, 0.087], [0.864, 0.951, 0.777], [0.913, 0.049, 0.326], [0.913, 0.136, 0.587], [0.913, 0.277, 0.326], [0.913, 0.364, 0.587], [0.951, 0.674, 0.087], [0.951, 0.777, 0.864]], "formation_energy_uncorrected_ev_per_atom": -0.866, "dft_energy_ev_per_cell": -436.1, "sg": "Ia-3d, No. 230", "dos_ef_per_ev_fu": 20.95}

***

{"formula": "PaIn3S6", "functional": "PBE", "state": "relaxed", "cell": [[11.850, 0.000, 0.000], [0.000, 3.968, 0.000], [-5.631, 0.000, 10.745]], "species": ["Pa", "Pa", "In", "In", "In", "In", "In", "In", "S", "S", "S", "S", "S", "S", "S", "S", "S", "S", "S", "S"], "frac_coords": [[0.191, 0.250, 0.047], [0.809, 0.750, 0.953], [0.056, 0.750, 0.313], [0.357, 0.750, 0.834], [0.361, 0.250, 0.460], [0.639, 0.750, 0.540], [0.643, 0.250, 0.166], [0.944, 0.250, 0.687], [0.027, 0.750, 0.915], [0.143, 0.250, 0.460], [0.178, 0.250, 0.809], [0.228, 0.750, 0.244], [0.356, 0.750, 0.072], [0.463, 0.750, 0.609], [0.537, 0.250, 0.391], [0.644, 0.250, 0.928], [0.772, 0.250, 0.756], [0.822, 0.750, 0.191], [0.857, 0.750, 0.540], [0.973, 0.250, 0.085]], "formation_energy_uncorrected_ev_per_atom": -0.836, "dft_energy_ev_per_cell": -101.7, "sg": "P2_1/m, No. 11"}

***

{"formula": "Pa2InS", "functional": "PBE", "state": "relaxed", "cell": [[1.698, 0.981, 9.359], [-1.698, 0.981, 9.359], [0.000, -1.961, 9.359]], "species": ["Pa", "Pa", "In", "S"], "frac_coords": [[0.236, 0.236, 0.236], [0.764, 0.764, 0.764], [0.000, 0.000, 0.000], [0.500, 0.500, 0.500]], "formation_energy_uncorrected_ev_per_atom": -0.679, "dft_energy_ev_per_cell": -28.6, "sg": "R-3m, No. 166", "dos_ef_per_ev_fu": 4.28, "e_above_lowest_polymorph_mev_per_atom": 0}

***

{"formula": "PaIn2S", "functional": "PBE", "state": "relaxed", "cell": [[1.719, 0.992, 10.099], [-1.719, 0.992, 10.099], [0.000, -1.984, 10.099]], "species": ["Pa", "In", "In", "S"], "frac_coords": [[0.000, 0.000, 0.000], [0.104, 0.104, 0.104], [0.896, 0.896, 0.896], [0.500, 0.500, 0.500]], "formation_energy_uncorrected_ev_per_atom": 0.102, "dft_energy_ev_per_cell": -18.7, "sg": "R-3m, No. 166", "dos_ef_per_ev_fu": 5.34}

***

{"formula": "Pa2InS", "functional": "PBE", "state": "relaxed", "cell": [[3.332, 0.000, 0.000], [0.000, 3.332, 0.000], [0.000, 0.000, 8.142]], "species": ["Pa", "Pa", "In", "S"], "frac_coords": [[0.000, 0.000, 0.212], [0.000, 0.000, 0.788], [0.500, 0.500, 0.500], [0.500, 0.500, 0.000]], "formation_energy_uncorrected_ev_per_atom": -0.564, "dft_energy_ev_per_cell": -28.1, "sg": "P4/mmm, No. 123", "dos_ef_per_ev_fu": 7.55, "e_above_lowest_polymorph_mev_per_atom": 115}

***

{"formula": "PaInS6", "functional": "PBE", "state": "relaxed", "cell": [[0.000, 5.159, 5.159], [5.159, 0.000, 5.159], [5.159, 5.159, 0.000]], "species": ["Pa", "In", "S", "S", "S", "S", "S", "S"], "frac_coords": [[0.000, 0.000, 0.000], [0.500, 0.500, 0.500], [0.249, 0.249, 0.751], [0.249, 0.751, 0.249], [0.249, 0.751, 0.751], [0.751, 0.249, 0.249], [0.751, 0.249, 0.751], [0.751, 0.751, 0.249]], "formation_energy_uncorrected_ev_per_atom": -0.178, "dft_energy_ev_per_cell": -38.4, "sg": "Fm-3m, No. 225", "dos_ef_per_ev_fu": 7.16}